Material: ZnW2O5
Method: DFT, GGA+U
State: relaxed

Cell: 3.9858 11.4950 7.7306 Å, 90.00 90.00 90.00°
Closest atoms and distances in Å follow each position.
Space group Pmmn (No. 59, origin choice 2)
One atom of each set of equivalent atoms:
Zn: 0.2500 0.2500 0.1147 (multiplicity 2)  8 O 3.51-3.92
W: 0.2500 0.5843 0.3876 (multiplicity 4)  1 O 1.73
O: 0.2500 0.0647 0.5408 (multiplicity 4)  3 W 2.08
O: 0.2500 0.5535 0.1688 (multiplicity 4)  1 W 1.73
O: 0.2500 0.7500 0.4424 (multiplicity 2)  2 W 1.95

For the energy above the most stable polymorph in this dataset, the calculation gives 17.0 meV per atom. The total energy comes out at -103.426 eV for the cell shown. For the density, the calculation gives 4.8 g/cm³.